1.
DFT (PBE-GGA) results for a geometry-optimized K2CdH6Pt structure.

```
data_K2CdH6Pt
_cell_length_a 5.4899
_cell_length_b 5.4899
_cell_length_c 7.9830
_cell_angle_alpha 90.00
_cell_angle_beta 90.00
_cell_angle_gamma 120.00
_space_group_name_H-M_alt 'P -3 m 1'
_space_group_IT_number 164
_space_group_name_Hall '-P 3 2"'
loop_
_atom_site_label
_atom_site_type_symbol
_atom_site_fract_x
_atom_site_fract_y
_atom_site_fract_z
K1 K 0.3333 0.6667 0.1621
Cd1 Cd 0.0000 0.0000 0.5000
H1 H 0.1417 0.2833 0.8796
Pt1 Pt 0.0000 0.0000 0.0000
```

Properties
**E_tot**: -3.189 eV per atom
**Total magnetic moment**: 0.00 μB/f.u.
**Volume**: 20.8 A^3/atom



2.
DFT (PBE-GGA) results for a geometry-optimized KCdH6Pt structure.

```
data_KCdH6Pt
_cell_length_a 5.0180
_cell_length_b 5.0180
_cell_length_c 5.4058
_cell_angle_alpha 90.00
_cell_angle_beta 90.00
_cell_angle_gamma 120.00
_space_group_name_H-M_alt 'P 3 1 2'
_space_group_IT_number 149
loop_
_space_group_symop_operation_xyz
'x,y,z'
'-y,x-y,z'
'-x+y,-x,z'
'-y,-x,-z'
'-x+y,y,-z'
'x,x-y,-z'
loop_
_atom_site_label
_atom_site_type_symbol
_atom_site_fract_x
_atom_site_fract_y
_atom_site_fract_z
K1 K 0.0000 0.0000 0.0000
Cd1 Cd 0.3333 0.6667 0.5000
H1 H 0.4287 0.0553 0.7027
Pt1 Pt 0.6667 0.3333 0.5000
```

Properties
**E_tot**: -3.228 eV per atom
**Total magnetic moment**: 0.00 μB/f.u.
**Volume**: 13.1 A^3/atom